Record 1
# SrAlPb2 | the Alexandria database | PBE-GGA | relaxed
data_SrAlPb2
_cell_length_a 4.806
_cell_length_b 4.806
_cell_length_c 10.202
_cell_angle_alpha 90.00
_cell_angle_beta 90.00
_cell_angle_gamma 90.00
_space_group_name_H-M_alt 'I -4 m 2'
_space_group_IT_number 119
_space_group_name_Hall 'I -4 -2'
loop_
_atom_site_label
_atom_site_fract_x
_atom_site_fract_y
_atom_site_fract_z
Sr1 0.000 0.000 0.000
Al1 0.000 0.500 0.750
Pb1 0.000 0.000 0.500
Pb2 0.000 0.500 0.250
# **DOS at the Fermi energy**: 0.707 states/eV/atom
# **Formation energy from the elements**: -0.13 eV per atom



Record 2
# SrAlPb2 | the Alexandria database | PBE-GGA | relaxed
data_SrAlPb2
_cell_length_a 6.930
_cell_length_b 9.355
_cell_length_c 3.687
_cell_angle_alpha 90.00
_cell_angle_beta 90.00
_cell_angle_gamma 90.00
_space_group_name_H-M_alt 'C m m m'
_space_group_IT_number 65
_space_group_name_Hall '-C 2 2'
loop_
_atom_site_label
_atom_site_fract_x
_atom_site_fract_y
_atom_site_fract_z
Sr1 0.000 0.000 0.000
Al1 0.000 0.500 0.000
Pb1 0.250 0.250 0.500
# **DOS at the Fermi energy**: 0.485 states/eV/atom
# **Formation energy from the elements**: -0.07 eV per atom



Record 3
# SrAlPb2 | the Alexandria database | PBE-GGA | relaxed
data_SrAlPb2
_cell_length_a 5.156
_cell_length_b 5.156
_cell_length_c 20.580
_cell_angle_alpha 90.00
_cell_angle_beta 90.00
_cell_angle_gamma 90.00
_space_group_name_H-M_alt 'I -4 2 d'
_space_group_IT_number 122
_space_group_name_Hall 'I -4 2bw'
loop_
_atom_site_label
_atom_site_fract_x
_atom_site_fract_y
_atom_site_fract_z
Sr1 0.000 0.000 0.000
Al1 0.000 0.000 0.500
Pb1 0.179 0.250 0.625
# **DOS at the Fermi energy**: 0.209 states/eV/atom
# **Formation energy from the elements**: -0.01 eV per atom



Record 4
# SrAlPb2 | the Alexandria database | PBE-GGA | relaxed
data_SrAlPb2
_cell_length_a 4.049
_cell_length_b 4.049
_cell_length_c 7.397
_cell_angle_alpha 90.00
_cell_angle_beta 90.00
_cell_angle_gamma 90.00
_space_group_name_H-M_alt 'P 4 m m'
_space_group_IT_number 99
_space_group_name_Hall 'P 4 -2'
loop_
_atom_site_label
_atom_site_fract_x
_atom_site_fract_y
_atom_site_fract_z
Sr1 0.000 0.000 0.000
Al1 0.500 0.500 0.284
Pb1 0.000 0.000 0.467
Pb2 0.500 0.500 0.700
# **DOS at the Fermi energy**: 0.400 states/eV/atom
# **Formation energy from the elements**: -0.11 eV per atom